[1]
# PmN2Cl3, relaxed, DFT PBE
data_PmN2Cl3
_cell_length_a 5.467
_cell_length_b 8.274
_cell_length_c 9.660
_cell_angle_alpha 90.00
_cell_angle_beta 106.37
_cell_angle_gamma 90.00
_symmetry_space_group_name_H-M 'P 1 21/m 1'
_symmetry_Int_Tables_number 11
loop_
_symmetry_equiv_pos_as_xyz
'x,y,z'
'-x,-y,-z'
'-x,y+1/2,-z'
'x,-y+1/2,z'
loop_
_atom_site_label
_atom_site_type_symbol
_atom_site_fract_x
_atom_site_fract_y
_atom_site_fract_z
Pm1 Pm 0.000 0.250 0.000
N1 N 0.315 0.250 0.631
N2 N 0.316 0.750 0.631
Cl1 Cl 0.097 0.000 0.194
Cl2 Cl 0.500 0.250 0.000
# VASP energy = -0.313 Ry/atom
# calculated volume = 34.9 Å³/atom
# formation energy (no corrections) = 235 meV/atom

[2]
# HoEr2Sn, relaxed, DFT PBE
data_HoEr2Sn
_cell_length_a 3.4494
_cell_length_b 3.4494
_cell_length_c 35.0717
_cell_angle_alpha 90.00
_cell_angle_beta 90.00
_cell_angle_gamma 120.00
_symmetry_space_group_name_H-M 'R -3 m'
_symmetry_Int_Tables_number 166
_symmetry_space_group_name_Hall '-R 3 2"'
loop_
_atom_site_label
_atom_site_type_symbol
_atom_site_fract_x
_atom_site_fract_y
_atom_site_fract_z
Ho1 Ho 0.0000 0.0000 0.0000
Er1 Er 0.0000 0.0000 0.0948
Sn1 Sn 0.0000 0.0000 0.5000
# energy above the lowest structure with this stoichiometry = 1.72 eV per formula unit
# VASP energy = -0.323 Ry/atom
# calculated volume = 30.1 Å³/atom
# ΔE_f = 0.11 eV/f.u.

Which of these has the highest calculated volume?
PmN2Cl3

Copy entry 1 word for word.
# PmN2Cl3, relaxed, DFT PBE
data_PmN2Cl3
_cell_length_a 5.467
_cell_length_b 8.274
_cell_length_c 9.660
_cell_angle_alpha 90.00
_cell_angle_beta 106.37
_cell_angle_gamma 90.00
_symmetry_space_group_name_H-M 'P 1 21/m 1'
_symmetry_Int_Tables_number 11
loop_
_symmetry_equiv_pos_as_xyz
'x,y,z'
'-x,-y,-z'
'-x,y+1/2,-z'
'x,-y+1/2,z'
loop_
_atom_site_label
_atom_site_type_symbol
_atom_site_fract_x
_atom_site_fract_y
_atom_site_fract_z
Pm1 Pm 0.000 0.250 0.000
N1 N 0.315 0.250 0.631
N2 N 0.316 0.750 0.631
Cl1 Cl 0.097 0.000 0.194
Cl2 Cl 0.500 0.250 0.000
# VASP energy = -0.313 Ry/atom
# calculated volume = 34.9 Å³/atom
# formation energy (no corrections) = 235 meV/atom

Which of these has the highest VASP energy?
PmN2Cl3

The lowest VASP energy belongs to which entry?
HoEr2Sn